Run w
Below is an optimized crystal structure of Li3CdGa, with properties calculated at the PBE-GGA level.

Output
Crystal system: monoclinic
M_tot: 0.00 μB per formula unit
Theoretical density: 3.98 g/cm³

Cell and atoms, written as CIF:
```
data_Li3CdGa
_cell_length_a 5.582
_cell_length_b 4.449
_cell_length_c 6.920
_cell_angle_alpha 90.00
_cell_angle_beta 99.39
_cell_angle_gamma 90.00
_space_group_name_H-M_alt 'P 1 21/m 1'
_space_group_IT_number 11
_space_group_name_Hall '-P 2yb'
loop_
_atom_site_label
_atom_site_fract_x
_atom_site_fract_y
_atom_site_fract_z
Li1 0.049 0.250 0.334
Li2 0.239 0.250 0.750
Li3 0.440 0.250 0.143
Cd1 0.339 0.750 0.441
Ga1 0.141 0.750 0.043
```

***

Run x
Below is an optimized crystal structure of Li3CdGa, with properties calculated at the PBE-GGA level.

Output
Crystal system: cubic
M_tot: 0.00 μB per formula unit
Theoretical density: 2.99 g/cm³

Cell and atoms, written as CIF:
```
data_Li3CdGa
_cell_length_a 4.832
_cell_length_b 4.832
_cell_length_c 4.832
_cell_angle_alpha 90.00
_cell_angle_beta 90.00
_cell_angle_gamma 90.00
_space_group_name_H-M_alt 'P m -3 m'
_space_group_IT_number 221
_space_group_name_Hall '-P 4 2 3'
loop_
_atom_site_label
_atom_site_fract_x
_atom_site_fract_y
_atom_site_fract_z
Li1 0.000 0.000 0.500
Cd1 0.500 0.500 0.500
Ga1 0.000 0.000 0.000
```

***

Most stable to least stable: run w, run x

***

Run w
Below is an optimized crystal structure of Li8CdGa2, with properties calculated at the PBE-GGA level.

Output
Crystal system: monoclinic
M_tot: 0.00 μB per formula unit
Theoretical density: 2.73 g/cm³

Cell and atoms, written as CIF:
```
data_Li8CdGa2
_cell_length_a 7.381
_cell_length_b 13.691
_cell_length_c 4.717
_cell_angle_alpha 90.00
_cell_angle_beta 128.36
_cell_angle_gamma 90.00
_space_group_name_H-M_alt 'C 1 2/m 1'
_space_group_IT_number 12
_space_group_name_Hall '-C 2y'
loop_
_atom_site_label
_atom_site_fract_x
_atom_site_fract_y
_atom_site_fract_z
Li1 0.000 0.206 0.000
Li2 0.053 0.500 0.781
Li3 0.229 0.135 0.709
Cd1 0.000 0.000 0.000
Ga1 0.000 0.316 0.500
```

***

Run x
Below is an optimized crystal structure of Li8CdGa2, with properties calculated at the PBE-GGA level.

Output
Crystal system: monoclinic
M_tot: 0.00 μB per formula unit
Theoretical density: 2.77 g/cm³

Cell and atoms, written as CIF:
```
data_Li8CdGa2
_cell_length_a 15.277
_cell_length_b 4.354
_cell_length_c 5.544
_cell_angle_alpha 90.00
_cell_angle_beta 92.92
_cell_angle_gamma 90.00
_space_group_name_H-M_alt 'C 1 2/m 1'
_space_group_IT_number 12
_space_group_name_Hall '-C 2y'
loop_
_atom_site_label
_atom_site_fract_x
_atom_site_fract_y
_atom_site_fract_z
Li1 0.053 0.000 0.228
Li2 0.098 0.500 0.956
Li3 0.140 0.000 0.684
Li4 0.188 0.500 0.395
Cd1 0.000 0.500 0.500
Ga1 0.229 0.000 0.125
```

***

Most stable to least stable: run x, run w

***

Run w
Below is an optimized crystal structure of Li5CdGa, with properties calculated at the PBE-GGA level.

Output
Crystal system: tetragonal
M_tot: 0.00 μB per formula unit
Theoretical density: 2.72 g/cm³

Cell and atoms, written as CIF:
```
data_Li5CdGa
_cell_length_a 4.131
_cell_length_b 4.131
_cell_length_c 7.762
_cell_angle_alpha 90.00
_cell_angle_beta 90.00
_cell_angle_gamma 90.00
_space_group_name_H-M_alt 'P 4/m m m'
_space_group_IT_number 123
_space_group_name_Hall '-P 4 2'
loop_
_atom_site_label
_atom_site_fract_x
_atom_site_fract_y
_atom_site_fract_z
Li1 0.000 0.000 0.000
Li2 0.000 0.500 0.247
Cd1 0.000 0.000 0.500
Ga1 0.500 0.500 0.000
```

***

Run x
Below is an optimized crystal structure of Li5CdGa, with properties calculated at the PBE-GGA level.

Output
Crystal system: monoclinic
M_tot: 0.00 μB per formula unit
Theoretical density: 2.82 g/cm³

Cell and atoms, written as CIF:
```
data_Li5CdGa
_cell_length_a 9.677
_cell_length_b 5.497
_cell_length_c 9.792
_cell_angle_alpha 90.00
_cell_angle_beta 101.28
_cell_angle_gamma 90.00
_space_group_name_H-M_alt 'C 1 2/c 1'
_space_group_IT_number 15
_space_group_name_Hall '-C 2yc'
loop_
_atom_site_label
_atom_site_fract_x
_atom_site_fract_y
_atom_site_fract_z
Li1 0.000 0.204 0.250
Li2 0.147 0.444 0.035
Li3 0.236 0.088 0.682
Cd1 0.000 0.302 0.750
Ga1 0.000 0.000 0.000
```

***

Most stable to least stable: run x, run w

***

Run w
Below is an optimized crystal structure of Li2Cd4Ga, with properties calculated at the PBE-GGA level.

Output
Crystal system: monoclinic
M_tot: 0.00 μB per formula unit
Theoretical density: 6.21 g/cm³

Cell and atoms, written as CIF:
```
data_Li2Cd4Ga
_cell_length_a 7.235
_cell_length_b 5.694
_cell_length_c 7.715
_cell_angle_alpha 90.00
_cell_angle_beta 116.23
_cell_angle_gamma 90.00
_space_group_name_H-M_alt 'P 1 21/m 1'
_space_group_IT_number 11
_space_group_name_Hall '-P 2yb'
loop_
_atom_site_label
_atom_site_fract_x
_atom_site_fract_y
_atom_site_fract_z
Li1 0.038 0.250 0.430
Li2 0.194 0.750 0.002
Cd1 0.241 0.250 0.184
Cd2 0.366 0.000 0.777
Cd3 0.394 0.750 0.422
Ga1 0.029 0.250 0.787
```

***

Run x
Below is an optimized crystal structure of Li2Cd4Ga, with properties calculated at the PBE-GGA level.

Output
Crystal system: orthorhombic
M_tot: 0.00 μB per formula unit
Theoretical density: 5.55 g/cm³

Cell and atoms, written as CIF:
```
data_Li2Cd4Ga
_cell_length_a 5.937
_cell_length_b 9.180
_cell_length_c 11.719
_cell_angle_alpha 90.00
_cell_angle_beta 90.00
_cell_angle_gamma 90.00
_space_group_name_H-M_alt 'F m m m'
_space_group_IT_number 69
_space_group_name_Hall '-F 2 2'
loop_
_atom_site_label
_atom_site_fract_x
_atom_site_fract_y
_atom_site_fract_z
Li1 0.000 0.000 0.128
Cd1 0.250 0.250 0.000
Cd2 0.250 0.250 0.250
Ga1 0.000 0.000 0.500
```

***

Most stable to least stable: run w, run x

***

Run w
Below is an optimized crystal structure of Li2Cd5Ga2, with properties calculated at the PBE-GGA level.

Output
Crystal system: orthorhombic
M_tot: 0.00 μB per formula unit
Theoretical density: 6.54 g/cm³

Cell and atoms, written as CIF:
```
data_Li2Cd5Ga2
_cell_length_a 17.820
_cell_length_b 5.084
_cell_length_c 8.025
_cell_angle_alpha 90.00
_cell_angle_beta 90.00
_cell_angle_gamma 90.00
_space_group_name_H-M_alt 'I m a 2'
_space_group_IT_number 46
_space_group_name_Hall 'I 2 -2a'
loop_
_atom_site_label
_atom_site_fract_x
_atom_site_fract_y
_atom_site_fract_z
Li1 0.000 0.000 0.000
Li2 0.250 0.043 0.306
Cd1 0.085 0.541 0.829
Cd2 0.166 0.019 0.991
Cd3 0.250 0.540 0.147
Ga1 0.077 0.042 0.674
```

***

Run x
Below is an optimized crystal structure of Li2Cd5Ga2, with properties calculated at the PBE-GGA level.

Output
Crystal system: monoclinic
M_tot: 0.00 μB per formula unit
Theoretical density: 6.58 g/cm³

Cell and atoms, written as CIF:
```
data_Li2Cd5Ga2
_cell_length_a 13.655
_cell_length_b 8.703
_cell_length_c 6.141
_cell_angle_alpha 90.00
_cell_angle_beta 98.43
_cell_angle_gamma 90.00
_space_group_name_H-M_alt 'C 1 c 1'
_space_group_IT_number 9
_space_group_name_Hall 'C -2yc'
loop_
_atom_site_label
_atom_site_fract_x
_atom_site_fract_y
_atom_site_fract_z
Li1 0.000 0.166 0.000
Li2 0.316 0.168 0.104
Cd1 0.156 0.340 0.298
Cd2 0.159 0.002 0.804
Cd3 0.326 0.166 0.607
Cd4 0.340 0.498 0.209
Cd5 0.494 0.313 0.005
Ga1 0.158 0.333 0.823
Ga2 0.479 0.020 0.375
```

***

Most stable to least stable: run x, run w

***

Run w
Below is an optimized crystal structure of Li3Cd4Ga2, with properties calculated at the PBE-GGA level.

Output
Crystal system: monoclinic
M_tot: 0.00 μB per formula unit
Theoretical density: 5.70 g/cm³

Cell and atoms, written as CIF:
```
data_Li3Cd4Ga2
_cell_length_a 10.118
_cell_length_b 4.721
_cell_length_c 8.927
_cell_angle_alpha 90.00
_cell_angle_beta 123.55
_cell_angle_gamma 90.00
_space_group_name_H-M_alt 'C 1 2/m 1'
_space_group_IT_number 12
_space_group_name_Hall '-C 2y'
loop_
_atom_site_label
_atom_site_fract_x
_atom_site_fract_y
_atom_site_fract_z
Li1 0.000 0.000 0.000
Li2 0.166 0.500 0.666
Cd1 0.061 0.000 0.390
Cd2 0.210 0.500 0.054
Ga1 0.111 0.500 0.279
```

***

Run x
Below is an optimized crystal structure of Li3Cd4Ga2, with properties calculated at the PBE-GGA level.

Output
Crystal system: orthorhombic
M_tot: 0.00 μB per formula unit
Theoretical density: 5.71 g/cm³

Cell and atoms, written as CIF:
```
data_Li3Cd4Ga2
_cell_length_a 8.202
_cell_length_b 14.304
_cell_length_c 6.049
_cell_angle_alpha 90.00
_cell_angle_beta 90.00
_cell_angle_gamma 90.00
_space_group_name_H-M_alt 'C c c m'
_space_group_IT_number 66
_space_group_name_Hall '-C 2 2c'
loop_
_atom_site_label
_atom_site_fract_x
_atom_site_fract_y
_atom_site_fract_z
Li1 0.000 0.000 0.250
Li2 0.000 0.330 0.250
Cd1 0.160 0.166 0.000
Cd2 0.172 0.493 0.500
Ga1 0.169 0.173 0.500
```

***

Most stable to least stable: run x, run w

***

Run w
Below is an optimized crystal structure of Li2CdGa3, with properties calculated at the PBE-GGA level.

Output
Crystal system: monoclinic
M_tot: 0.00 μB per formula unit
Theoretical density: 5.34 g/cm³

Cell and atoms, written as CIF:
```
data_Li2CdGa3
_cell_length_a 5.881
_cell_length_b 4.033
_cell_length_c 8.797
_cell_angle_alpha 90.00
_cell_angle_beta 91.81
_cell_angle_gamma 90.00
_space_group_name_H-M_alt 'P 1 21/m 1'
_space_group_IT_number 11
_space_group_name_Hall '-P 2yb'
loop_
_atom_site_label
_atom_site_fract_x
_atom_site_fract_y
_atom_site_fract_z
Li1 0.118 0.250 0.087
Li2 0.365 0.750 0.592
Cd1 0.370 0.750 0.255
Ga1 0.128 0.250 0.431
Ga2 0.128 0.250 0.753
Ga3 0.363 0.750 0.921
```

***

Run x
Below is an optimized crystal structure of Li2CdGa3, with properties calculated at the PBE-GGA level.

Output
Crystal system: orthorhombic
M_tot: 0.00 μB per formula unit
Theoretical density: 5.10 g/cm³

Cell and atoms, written as CIF:
```
data_Li2CdGa3
_cell_length_a 6.176
_cell_length_b 9.031
_cell_length_c 15.679
_cell_angle_alpha 90.00
_cell_angle_beta 90.00
_cell_angle_gamma 90.00
_space_group_name_H-M_alt 'F m m m'
_space_group_IT_number 69
_space_group_name_Hall '-F 2 2'
loop_
_atom_site_label
_atom_site_fract_x
_atom_site_fract_y
_atom_site_fract_z
Li1 0.249 0.000 0.000
Li2 0.250 0.250 0.250
Cd1 0.000 0.000 0.333
Ga1 0.000 0.000 0.162
Ga2 0.000 0.243 0.081
```

***

Most stable to least stable: run x, run w

***

Run w
Below is an optimized crystal structure of Li2Cd8Ga, with properties calculated at the PBE-GGA level.

Output
Crystal system: monoclinic
M_tot: 0.00 μB per formula unit
Theoretical density: 6.81 g/cm³

Cell and atoms, written as CIF:
```
data_Li2Cd8Ga
_cell_length_a 7.602
_cell_length_b 13.326
_cell_length_c 5.289
_cell_angle_alpha 90.00
_cell_angle_beta 116.52
_cell_angle_gamma 90.00
_space_group_name_H-M_alt 'C 1 2/m 1'
_space_group_IT_number 12
_space_group_name_Hall '-C 2y'
loop_
_atom_site_label
_atom_site_fract_x
_atom_site_fract_y
_atom_site_fract_z
Li1 0.000 0.199 0.000
Cd1 0.000 0.282 0.500
Cd2 0.097 0.000 0.296
Cd3 0.215 0.383 0.152
Ga1 0.000 0.500 0.500
```

***

Run x
Below is an optimized crystal structure of Li2Cd8Ga, with properties calculated at the PBE-GGA level.

Output
Crystal system: orthorhombic
M_tot: 0.00 μB per formula unit
Theoretical density: 7.04 g/cm³

Cell and atoms, written as CIF:
```
data_Li2Cd8Ga
_cell_length_a 4.790
_cell_length_b 6.789
_cell_length_c 14.257
_cell_angle_alpha 90.00
_cell_angle_beta 90.00
_cell_angle_gamma 90.00
_space_group_name_H-M_alt 'I m m m'
_space_group_IT_number 71
_space_group_name_Hall '-I 2 2'
loop_
_atom_site_label
_atom_site_fract_x
_atom_site_fract_y
_atom_site_fract_z
Li1 0.000 0.000 0.189
Cd1 0.000 0.212 0.000
Cd2 0.000 0.280 0.354
Cd3 0.000 0.500 0.169
Ga1 0.000 0.000 0.500
```

***

Most stable to least stable: run x, run w